No. 1
# TlIn2Pb, PBEsol geometry, DFT meta-GGA SCAN
# Total moment = 0.0 Bohr magnetons per cell
# Fermi-level density of states = 1.8 states/eV/f.u.
# DFT total energy = -3.945 Ry/atom
# Energy relative to the lowest polymorph listed for this composition = 9 meV/atom
# Density = 9.81 g/cm3
data_TlIn2Pb
_chemical_formula_sum 'Tl2 In4 Pb2'
_cell_length_a 4.978
_cell_length_b 4.978
_cell_length_c 8.758
_cell_angle_alpha 90.00
_cell_angle_beta 90.00
_cell_angle_gamma 90.00
_space_group_name_H-M_alt 'I 4/m m m'
_space_group_IT_number 139
_space_group_name_Hall '-I 4 2'
loop_
_atom_site_label
_atom_site_fract_x
_atom_site_fract_y
_atom_site_fract_z
Tl1 0.000 0.000 0.000
In1 0.000 0.500 0.250
Pb1 0.000 0.000 0.500

***

No. 2
# TlIn2Pb, PBEsol geometry, DFT meta-GGA SCAN
# Total moment = 0.0 Bohr magnetons per cell
# Fermi-level density of states = 1.8 states/eV/f.u.
# DFT total energy = -3.945 Ry/atom
# Energy relative to the lowest polymorph listed for this composition = 16 meV/atom
# Density = 9.76 g/cm3
data_TlIn2Pb
_chemical_formula_sum 'Tl2 In4 Pb2'
_cell_length_a 3.713
_cell_length_b 5.541
_cell_length_c 10.611
_cell_angle_alpha 90.00
_cell_angle_beta 90.00
_cell_angle_gamma 90.00
_space_group_name_H-M_alt 'C m m 2'
_space_group_IT_number 35
_space_group_name_Hall 'C 2 -2'
loop_
_atom_site_label
_atom_site_fract_x
_atom_site_fract_y
_atom_site_fract_z
Tl1 0.000 0.000 0.000
In1 0.000 0.000 0.516
In2 0.000 0.500 0.753
Pb1 0.000 0.500 0.264

***

No. 3
# Tl2InPb, PBEsol geometry, DFT meta-GGA SCAN
# Total moment = 0.0 Bohr magnetons per cell
# Fermi-level density of states = 1.6 states/eV/f.u.
# DFT total energy = -4.662 Ry/atom
# Energy relative to the lowest polymorph listed for this composition = 24 meV/atom
# Density = 10.88 g/cm3
data_Tl2InPb
_chemical_formula_sum 'Tl4 In2 Pb2'
_cell_length_a 3.771
_cell_length_b 5.541
_cell_length_c 10.681
_cell_angle_alpha 90.00
_cell_angle_beta 90.00
_cell_angle_gamma 90.00
_space_group_name_H-M_alt 'C m m m'
_space_group_IT_number 65
_space_group_name_Hall '-C 2 2'
loop_
_atom_site_label
_atom_site_fract_x
_atom_site_fract_y
_atom_site_fract_z
Tl1 0.000 0.000 0.243
In1 0.000 0.500 0.000
Pb1 0.000 0.500 0.500

***

No. 4
# Tl2InPb, PBEsol geometry, DFT meta-GGA SCAN
# Total moment = 0.0 Bohr magnetons per cell
# Fermi-level density of states = 1.4 states/eV/f.u.
# DFT total energy = -4.663 Ry/atom
# Energy relative to the lowest polymorph listed for this composition = 6 meV/atom
# Density = 10.88 g/cm3
data_Tl2InPb
_chemical_formula_sum 'Tl2 In1 Pb1'
_cell_length_a 3.353
_cell_length_b 4.726
_cell_length_c 7.036
_cell_angle_alpha 90.00
_cell_angle_beta 90.00
_cell_angle_gamma 90.00
_space_group_name_H-M_alt 'P m m 2'
_space_group_IT_number 25
_space_group_name_Hall 'P 2 -2'
loop_
_atom_site_label
_atom_site_fract_x
_atom_site_fract_y
_atom_site_fract_z
Tl1 0.000 0.000 0.000
Tl2 0.500 0.500 0.252
In1 0.000 0.000 0.498
Pb1 0.500 0.500 0.737

***

No. 5
# TlIn2Pb, PBEsol geometry, DFT meta-GGA SCAN
# Total moment = 0.0 Bohr magnetons per cell
# Fermi-level density of states = 2.0 states/eV/f.u.
# DFT total energy = -3.946 Ry/atom
# Energy relative to the lowest polymorph listed for this composition = 0 meV/atom
# Density = 9.77 g/cm3
data_TlIn2Pb
_chemical_formula_sum 'Tl3 In6 Pb3'
_cell_length_a 3.3996
_cell_length_b 3.3996
_cell_length_c 32.6637
_cell_angle_alpha 90.00
_cell_angle_beta 90.00
_cell_angle_gamma 120.00
_space_group_name_H-M_alt 'R 3 m'
_space_group_IT_number 160
_space_group_name_Hall 'R 3 -2"'
loop_
_atom_site_label
_atom_site_fract_x
_atom_site_fract_y
_atom_site_fract_z
Tl1 0.0000 0.0000 0.0000
In1 0.0000 0.0000 0.4943
In2 0.0000 0.0000 0.7493
Pb1 0.0000 0.0000 0.2446

***

No. 6
# TlInPb2, PBEsol geometry, DFT meta-GGA SCAN
# Total moment = 0.0 Bohr magnetons per cell
# Fermi-level density of states = 1.5 states/eV/f.u.
# DFT total energy = -4.727 Ry/atom
# Energy relative to the lowest polymorph listed for this composition = 0 meV/atom
# Density = 10.76 g/cm3
data_TlInPb2
_chemical_formula_sum 'Tl3 In3 Pb6'
_cell_length_a 3.4051
_cell_length_b 3.4051
_cell_length_c 33.8243
_cell_angle_alpha 90.00
_cell_angle_beta 90.00
_cell_angle_gamma 120.00
_space_group_name_H-M_alt 'R -3 m'
_space_group_IT_number 166
_space_group_name_Hall '-R 3 2"'
loop_
_atom_site_label
_atom_site_fract_x
_atom_site_fract_y
_atom_site_fract_z
Tl1 0.0000 0.0000 0.0000
In1 0.0000 0.0000 0.5000
Pb1 0.0000 0.0000 0.2476